(1)
# TiHg (PBE, optimized geometry)
data_TiHg
_chemical_formula_sum 'Ti8 Hg8'
_cell_length_a 10.4956
_cell_length_b 10.4956
_cell_length_c 3.0773
_cell_angle_alpha 90.00
_cell_angle_beta 90.00
_cell_angle_gamma 90.00
_symmetry_space_group_name_H-M 'I 4/m'
_symmetry_Int_Tables_number 87
_symmetry_space_group_name_Hall '-I 4'
loop_
_atom_site_label
_atom_site_fract_x
_atom_site_fract_y
_atom_site_fract_z
Ti1 0.0888 0.6252 0.0000
Hg1 0.1042 0.1721 0.0000
# - Magnetic moment: 0.0 μB/cell
# - D(E_F): 14.1 states/eV per cell
# - Calculated formation energy: 0.099 eV/atom


(2)
# TiHg (PBE, optimized geometry)
data_TiHg
_chemical_formula_sum 'Ti2 Hg2'
_cell_length_a 4.7163
_cell_length_b 4.7163
_cell_length_c 5.5449
_cell_angle_alpha 90.00
_cell_angle_beta 90.00
_cell_angle_gamma 120.00
_symmetry_space_group_name_H-M 'P 63/m m c'
_symmetry_Int_Tables_number 194
_symmetry_space_group_name_Hall '-P 6c 2c'
loop_
_atom_site_label
_atom_site_fract_x
_atom_site_fract_y
_atom_site_fract_z
Ti1 0.3333 0.6667 0.2500
Hg1 0.3333 0.6667 0.7500
# - Magnetic moment: 3.1 μB/cell
# - D(E_F): 5.7 states/eV per cell
# - Calculated formation energy: 0.759 eV/atom


(3)
# TiHg (PBE, optimized geometry)
data_TiHg
_chemical_formula_sum 'Ti4 Hg4'
_cell_length_a 6.1556
_cell_length_b 6.1556
_cell_length_c 6.1556
_cell_angle_alpha 90.00
_cell_angle_beta 90.00
_cell_angle_gamma 90.00
_symmetry_space_group_name_H-M 'F -4 3 m'
_symmetry_Int_Tables_number 216
_symmetry_space_group_name_Hall 'F -4 2 3'
loop_
_atom_site_label
_atom_site_fract_x
_atom_site_fract_y
_atom_site_fract_z
Ti1 0.0000 0.0000 0.0000
Hg1 0.2500 0.2500 0.7500
# - Magnetic moment: 6.6 μB/cell
# - D(E_F): 8.4 states/eV per cell
# - Calculated formation energy: 1.053 eV/atom


(4)
# TiHg (PBE, optimized geometry)
data_TiHg
_chemical_formula_sum 'Ti6 Hg6'
_cell_length_a 9.6786
_cell_length_b 9.6786
_cell_length_c 3.0040
_cell_angle_alpha 90.00
_cell_angle_beta 90.00
_cell_angle_gamma 120.00
_symmetry_space_group_name_H-M 'P 63/m'
_symmetry_Int_Tables_number 176
_symmetry_space_group_name_Hall '-P 6c'
loop_
_atom_site_label
_atom_site_fract_x
_atom_site_fract_y
_atom_site_fract_z
Ti1 0.1357 0.5480 0.2500
Hg1 0.1231 0.8012 0.7500
# - Magnetic moment: 0.0 μB/cell
# - D(E_F): 12.7 states/eV per cell
# - Calculated formation energy: 0.151 eV/atom


(5)
# TiTl3Hg (PBE, optimized geometry)
data_TiTl3Hg
_chemical_formula_sum 'Ti1 Tl3 Hg1'
_cell_length_a 5.5380
_cell_length_b 5.5380
_cell_length_c 5.5380
_cell_angle_alpha 90.00
_cell_angle_beta 90.00
_cell_angle_gamma 90.00
_symmetry_space_group_name_H-M 'P m -3 m'
_symmetry_Int_Tables_number 221
_symmetry_space_group_name_Hall '-P 4 2 3'
loop_
_atom_site_label
_atom_site_fract_x
_atom_site_fract_y
_atom_site_fract_z
Ti1 0.0000 0.0000 0.0000
Tl1 0.0000 0.0000 0.5000
Hg1 0.5000 0.5000 0.5000
# - Magnetic moment: 2.0 μB/cell
# - Polymorph energy (0 for the lowest one): 0.00 eV/f.u.
# - D(E_F): 6.5 states/eV per cell
# - Calculated formation energy: 0.409 eV/atom


(6)
# TiTl2Hg2 (PBE, optimized geometry)
data_TiTl2Hg2
_chemical_formula_sum 'Ti2 Tl4 Hg4'
_cell_length_a 7.4402
_cell_length_b 7.4402
_cell_length_c 4.6585
_cell_angle_alpha 90.00
_cell_angle_beta 90.00
_cell_angle_gamma 90.00
_symmetry_space_group_name_H-M 'P 4/m b m'
_symmetry_Int_Tables_number 127
_symmetry_space_group_name_Hall '-P 4 2ab'
loop_
_atom_site_label
_atom_site_fract_x
_atom_site_fract_y
_atom_site_fract_z
Ti1 0.0000 0.0000 0.0000
Tl1 0.1755 0.3245 0.5000
Hg1 0.1414 0.6414 0.0000
# - Magnetic moment: 0.0 μB/cell
# - D(E_F): 6.2 states/eV per cell
# - Calculated formation energy: 0.337 eV/atom


(7)
# TiTl2Hg (PBE, optimized geometry)
data_TiTl2Hg
_chemical_formula_sum 'Ti4 Tl8 Hg4'
_cell_length_a 7.9777
_cell_length_b 7.9777
_cell_length_c 6.2225
_cell_angle_alpha 90.00
_cell_angle_beta 90.00
_cell_angle_gamma 90.00
_symmetry_space_group_name_H-M 'I -4 2 d'
_symmetry_Int_Tables_number 122
_symmetry_space_group_name_Hall 'I -4 2bw'
loop_
_atom_site_label
_atom_site_fract_x
_atom_site_fract_y
_atom_site_fract_z
Ti1 0.0000 0.0000 0.0000
Tl1 0.2426 0.2500 0.1250
Hg1 0.0000 0.0000 0.5000
# - Magnetic moment: 0.0 μB/cell
# - Polymorph energy (0 for the lowest one): 0.00 eV/f.u.
# - D(E_F): 5.9 states/eV per cell
# - Calculated formation energy: 0.383 eV/atom


(8)
# TiTl3Hg (PBE, optimized geometry)
data_TiTl3Hg
_chemical_formula_sum 'Ti1 Tl3 Hg1'
_cell_length_a 5.5898
_cell_length_b 5.5898
_cell_length_c 5.5898
_cell_angle_alpha 90.00
_cell_angle_beta 90.00
_cell_angle_gamma 90.00
_symmetry_space_group_name_H-M 'P m -3 m'
_symmetry_Int_Tables_number 221
_symmetry_space_group_name_Hall '-P 4 2 3'
loop_
_atom_site_label
_atom_site_fract_x
_atom_site_fract_y
_atom_site_fract_z
Ti1 0.0000 0.0000 0.0000
Tl1 0.0000 0.5000 0.5000
Hg1 0.5000 0.5000 0.5000
# - Magnetic moment: 0.0 μB/cell
# - Polymorph energy (0 for the lowest one): 2.90 eV/f.u.
# - D(E_F): 6.7 states/eV per cell
# - Calculated formation energy: 0.989 eV/atom


(9)
# TiTl2Hg (PBE, optimized geometry)
data_TiTl2Hg
_chemical_formula_sum 'Ti4 Tl8 Hg4'
_cell_length_a 7.2970
_cell_length_b 7.2970
_cell_length_c 7.2970
_cell_angle_alpha 90.00
_cell_angle_beta 90.00
_cell_angle_gamma 90.00
_symmetry_space_group_name_H-M 'F m -3 m'
_symmetry_Int_Tables_number 225
_symmetry_space_group_name_Hall '-F 4 2 3'
loop_
_atom_site_label
_atom_site_fract_x
_atom_site_fract_y
_atom_site_fract_z
Ti1 0.0000 0.0000 0.0000
Tl1 0.2500 0.2500 0.2500
Hg1 0.0000 0.0000 0.5000
# - Magnetic moment: 7.7 μB/cell
# - Polymorph energy (0 for the lowest one): 0.02 eV/f.u.
# - D(E_F): 11.9 states/eV per cell
# - Calculated formation energy: 0.389 eV/atom


(10)
# Ti2Tl2Hg (PBE, optimized geometry)
data_Ti2Tl2Hg
_chemical_formula_sum 'Ti4 Tl4 Hg2'
_cell_length_a 8.0767
_cell_length_b 8.0767
_cell_length_c 3.3257
_cell_angle_alpha 90.00
_cell_angle_beta 90.00
_cell_angle_gamma 90.00
_symmetry_space_group_name_H-M 'P 4/m b m'
_symmetry_Int_Tables_number 127
_symmetry_space_group_name_Hall '-P 4 2ab'
loop_
_atom_site_label
_atom_site_fract_x
_atom_site_fract_y
_atom_site_fract_z
Ti1 0.1691 0.3309 0.0000
Tl1 0.1330 0.6330 0.5000
Hg1 0.0000 0.0000 0.5000
# - Magnetic moment: 1.3 μB/cell
# - Polymorph energy (0 for the lowest one): 0.83 eV/f.u.
# - D(E_F): 10.4 states/eV per cell
# - Calculated formation energy: 0.352 eV/atom


(11)
# Ti7Tl2Hg2 (PBE, optimized geometry)
data_Ti7Tl2Hg2
_chemical_formula_sum 'Ti14 Tl4 Hg4'
_cell_length_a 9.2958
_cell_length_b 9.5140
_cell_length_c 5.3261
_cell_angle_alpha 90.00
_cell_angle_beta 113.85
_cell_angle_gamma 90.00
_symmetry_space_group_name_H-M 'C 1 2/m 1'
_symmetry_Int_Tables_number 12
loop_
_symmetry_equiv_pos_as_xyz
'x,y,z'
'-x,-y,-z'
'-x,y,-z'
'x,-y,z'
'x+1/2,y+1/2,z'
'-x+1/2,-y+1/2,-z'
'-x+1/2,y+1/2,-z'
'x+1/2,-y+1/2,z'
loop_
_atom_site_label
_atom_site_fract_x
_atom_site_fract_y
_atom_site_fract_z
Ti1 0.0000 0.0000 0.0000
Ti2 0.0968 0.5000 0.8404
Ti3 0.1631 0.2493 0.1498
Tl1 0.0000 0.2214 0.5000
Hg1 0.2479 0.5000 0.4601
# - Magnetic moment: 5.0 μB/cell
# - D(E_F): 27.0 states/eV per cell
# - Calculated formation energy: 0.166 eV/atom


(12)
# TiTlHg3 (PBE, optimized geometry)
data_TiTlHg3
_chemical_formula_sum 'Ti1 Tl1 Hg3'
_cell_length_a 5.4387
_cell_length_b 5.4387
_cell_length_c 5.4387
_cell_angle_alpha 90.00
_cell_angle_beta 90.00
_cell_angle_gamma 90.00
_symmetry_space_group_name_H-M 'P m -3 m'
_symmetry_Int_Tables_number 221
_symmetry_space_group_name_Hall '-P 4 2 3'
loop_
_atom_site_label
_atom_site_fract_x
_atom_site_fract_y
_atom_site_fract_z
Ti1 0.0000 0.0000 0.0000
Tl1 0.5000 0.5000 0.5000
Hg1 0.0000 0.0000 0.5000
# - Magnetic moment: 2.7 μB/cell
# - Polymorph energy (0 for the lowest one): 0.00 eV/f.u.
# - D(E_F): 5.7 states/eV per cell
# - Calculated formation energy: 0.374 eV/atom